16
Lattice="13.987 0.000 0.000 0.000 15.542 0.000 0.000 0.000 5.430" Properties=species:S:1:pos:R:3 comment="K4Rb3O | Alexandria via LeMat-Bulk | PBE-GGA | optimized geometry" energy_ev_per_atom=-1.84 polymorph_energy_ev_per_atom=0.0654 n_ef_per_ev_cell=9.56 raw_formation_energy_mev_per_atom=-309 pbc="T T T"
K 0.000 1.553 0.001
K 0.000 10.722 2.700
K 1.940 3.291 2.715
K 5.053 12.252 0.000
K 6.994 4.820 5.415
K 6.994 13.990 2.716
K 8.934 12.252 0.000
K 12.047 3.291 2.715
Rb 0.000 6.905 5.425
Rb 1.839 14.899 2.718
Rb 5.155 0.643 0.003
Rb 6.994 8.638 2.709
Rb 8.832 0.643 0.003
Rb 12.149 14.899 2.718
O 0.000 1.459 2.716
O 6.994 14.083 0.001